Nd2Tm5In | PBE-GGA | optimized geometry

Results
Energy above the lowest structure with this stoichiometry: 0.7199 eV/atom
Magnetic moment: 0.0 μB per formula unit
ρ: 6.51 Mg/m³
ΔE_f: 0.622 eV/atom

Cell lengths 5.2392, 21.4596, 11.3304 Å; angles 90.00, 90.00, 90.00 degrees
Space group Cmcm (No. 63)
One atom of each set of equivalent atoms:
Nd: 0.0000 0.1299 0.0993
Tm: 0.0000 0.0291 0.6218
Tm: 0.0000 0.2710 0.5841
Tm: 0.0000 0.2765 0.2500
In: 0.0000 0.1516 0.7500

---

ErHF4 | PBE-GGA | optimized geometry

Results
Energy above the lowest structure with this stoichiometry: 0.0000 eV/atom
Magnetic moment: 0.0 μB per formula unit
ρ: 5.02 Mg/m³

Cell lengths 15.8500, 5.2037, 3.9222 Å; angles 90.00, 90.06, 90.00 degrees
Space group C2/m (No. 12)
One atom of each set of equivalent atoms:
Er: 0.1826 0.0000 0.2497
H: 0.0791 0.5000 0.2493
F: 0.0815 0.2790 0.2496
F: 0.2008 0.2342 0.7497